{"formula": "Tm2CdIn", "functional": "PBE", "state": "optimized geometry", "lattice": [[3.7074, 0.0000, 0.0000], [0.0000, 3.7074, 0.0000], [0.0000, 0.0000, 7.3652]], "species": ["Cd", "In", "Tm", "Tm"], "frac_coords": [[0.5000, 0.5000, 0.0000], [0.5000, 0.5000, 0.5000], [0.0000, 0.0000, 0.2469], [0.0000, 0.0000, 0.7531]], "space_group": "P4/mmm", "mass_density_g_cm3": 9.3, "energy_ev_per_atom": -3.5270}